1.
Compound: Au6C7
Source: Alexandria
Functional: PBE
Structure: optimized geometry

abc: 4.8102 4.8102 33.9700
angles: 90.00 90.00 120.00
Closest atoms and distances in Å follow each position.
Space group R-3m (No. 166, hexagonal axes)
One atom of each set of equivalent atoms:
Au: 0.0000 0.0000 0.0398 (multiplicity 6)  4 Au 2.70-3.01
Au: 0.0000 0.0000 0.2512 (multiplicity 6)  3 C 2.06
Au: 0.0000 0.0000 0.3389 (multiplicity 6)  7 Au 2.80-3.01
C: 0.0000 0.0000 0.5000 (multiplicity 3)  6 C 2.40
C: 0.0974 0.1947 0.4334 (multiplicity 18)  2 C 1.41

Properties
DFT formation energy: 1627 meV/atom
crystal system: trigonal

***

2.
Compound: La3Se3O
Source: Alexandria
Functional: PBE
Structure: optimized geometry

abc: 8.3898 12.4579 7.3352
angles: 90.00 99.36 90.00
Closest atoms and distances in Å follow each position.
Space group C2/m (No. 12)
One atom of each set of equivalent atoms:
La: 0.0993 0.0000 0.3098 (multiplicity 4)  2 O 2.39-2.48
La: 0.1888 0.3490 0.2141 (multiplicity 8)  1 O 2.34
Se: 0.0000 0.1630 0.0000 (multiplicity 4)  6 La 3.06-3.26
Se: 0.0000 0.2309 0.5000 (multiplicity 4)  6 La 3.19-3.36, 2 O 3.35
Se: 0.1060 0.5000 0.8427 (multiplicity 4)  3 La 2.88-3.08, 1 Se 3.13
O: 0.1855 0.0000 0.6375 (multiplicity 4)  4 La 2.34-2.48

Properties
formation energy without anion corrections: -15.9 eV/f.u.
crystal system: monoclinic

***

3.
Compound: Ac6Sn2Pb3
Source: Alexandria
Functional: PBE
Structure: optimized geometry

abc: 6.4269 6.4269 22.8944
angles: 90.00 90.00 90.00
Closest atoms and distances in Å follow each position.
Space group I4/mmm (No. 139)
One atom of each set of equivalent atoms:
Ac: 0.0000 0.0000 0.2049 (multiplicity 4)  1 Sn 3.26, 1 Pb 3.27
Ac: 0.0000 0.5000 0.0874 (multiplicity 8)  2 Sn 3.26, 2 Pb 3.54
Sn: 0.0000 0.0000 0.0627 (multiplicity 4)  1 Sn 2.87
Pb: 0.0000 0.0000 0.3477 (multiplicity 4)  5 Ac 3.27-3.54, 1 Pb 3.49
Pb: 0.0000 0.0000 0.5000 (multiplicity 2)  2 Pb 3.49, 8 Ac 3.79

Properties
DFT formation energy: -202 meV/atom
crystal system: tetragonal

***

4.
Compound: AcDyCoPt
Source: Alexandria
Functional: PBE
Structure: optimized geometry

abc: 7.1545 7.1545 7.1545
angles: 90.00 90.00 90.00
Closest atoms and distances in Å follow each position.
Space group F-43m (No. 216)
One atom of each set of equivalent atoms:
Ac: 0.0000 0.0000 0.0000 (multiplicity 4)  4 Co 3.10, 4 Pt 3.10
Dy: 0.0000 0.0000 0.5000 (multiplicity 4)  4 Co 3.10, 4 Pt 3.10
Co: 0.2500 0.2500 0.7500 (multiplicity 4)  4 Ac 3.10, 4 Dy 3.10
Pt: 0.2500 0.2500 0.2500 (multiplicity 4)  4 Ac 3.10, 4 Dy 3.10

Properties
DFT formation energy: -451 meV/atom
crystal system: cubic

***

5.
Compound: NaAc2Ga3Au4
Source: Alexandria
Functional: PBE
Structure: optimized geometry

abc: 4.6146 4.6146 10.9214
angles: 90.00 90.00 90.00
Closest atoms and distances in Å follow each position.
Space group P-4m2 (No. 115)
One atom of each set of equivalent atoms:
Na: 0.0000 0.0000 0.0000 (multiplicity 1)  4 Au 2.78
Ac: 0.0000 0.5000 0.7344 (multiplicity 2)  8 Au 3.45-3.53, 6 Ga 3.48-3.71, 2 Na 3.71
Ga: 0.0000 0.5000 0.3774 (multiplicity 2)  5 Au 2.57-2.67
Ga: 0.5000 0.5000 0.0000 (multiplicity 1)  4 Au 2.78
Au: 0.0000 0.0000 0.5000 (multiplicity 1)  4 Ga 2.67
Au: 0.0000 0.5000 0.1419 (multiplicity 2)  3 Ga 2.57-2.78, 2 Na 2.78
Au: 0.5000 0.5000 0.5000 (multiplicity 1)  4 Ga 2.67

Properties
DFT formation energy: -598 meV/atom
crystal system: tetragonal

***

6.
Compound: Pm2Ni4P3Pt
Source: Alexandria
Functional: PBE
Structure: optimized geometry

abc: 3.9764 3.9764 9.7476
angles: 90.00 90.00 90.00
Closest atoms and distances in Å follow each position.
Space group P-4m2 (No. 115)
One atom of each set of equivalent atoms:
Pm: 0.0000 0.5000 0.2448 (multiplicity 2)  8 Ni 3.00-3.11, 6 P 3.05-3.18, 2 Pt 3.18
Ni: 0.0000 0.0000 0.0000 (multiplicity 1)  4 P 2.33
Ni: 0.0000 0.5000 0.6487 (multiplicity 2)  3 P 2.22-2.46, 2 Pt 2.46
Ni: 0.5000 0.5000 0.0000 (multiplicity 1)  4 P 2.33
P: 0.0000 0.5000 0.8759 (multiplicity 2)  5 Ni 2.22-2.33
P: 0.5000 0.5000 0.5000 (multiplicity 1)  4 Ni 2.46
Pt: 0.0000 0.0000 0.5000 (multiplicity 1)  4 Ni 2.46

Properties
DFT formation energy: -859 meV/atom
crystal system: tetragonal

***

7.
Compound: Rb2Ga4P
Source: Alexandria
Functional: PBE
Structure: optimized geometry

abc: 5.3760 5.3760 17.5883
angles: 90.00 90.00 90.00
Closest atoms and distances in Å follow each position.
Space group I4/mmm (No. 139)
One atom of each set of equivalent atoms:
Rb: 0.0000 0.0000 0.1550 (multiplicity 4)  9 Ga 3.76-3.83
Ga: 0.0000 0.0000 0.3686 (multiplicity 4)  1 P 2.31
Ga: 0.0000 0.5000 0.0000 (multiplicity 4)  2 P 2.69
P: 0.0000 0.0000 0.5000 (multiplicity 2)  2 Ga 2.31

Properties
DFT formation energy: 154 meV/atom
crystal system: tetragonal

***

8.
Compound: Tm4InSnC
Source: Alexandria
Functional: PBE
Structure: optimized geometry

abc: 6.7282 15.5802 6.7209
angles: 90.00 90.00 90.00
Closest atoms and distances in Å follow each position.
Space group Cmcm (No. 63)
One atom of each set of equivalent atoms:
Tm: 0.0000 0.0904 0.2500 (multiplicity 4)  1 C 2.50
Tm: 0.0000 0.4094 0.2500 (multiplicity 4)  1 C 2.48
Tm: 0.2500 0.2500 0.0000 (multiplicity 8)  2 C 2.38
In: 0.0000 0.3884 0.7500 (multiplicity 4)  9 Tm 3.15-3.38
Sn: 0.0000 0.1113 0.7500 (multiplicity 4)  9 Tm 3.14-3.38
C: 0.0000 0.2505 0.2500 (multiplicity 4)  6 Tm 2.38-2.50

Properties
DFT formation energy: -527 meV/atom
crystal system: orthorhombic